[1]
NbTl2NCl | the Alexandria database | PBE-GGA | relaxed; mass density = 6.2 g cm⁻³; formation energy from raw total energies = 1.262 eV/atom
1.0
5.652 0.000 0.000
0.000 4.643 0.000
0.000 0.000 5.652
N Tl Cl Nb
1 2 1 1
Cartesian
2.826 2.322 2.826
2.826 0.000 0.000
0.000 0.000 2.826
0.000 2.322 0.000
0.000 0.000 0.000

---

[2]
NdNCl3 | the Alexandria database | PBE-GGA | relaxed; mass density = 2.6 g cm⁻³; formation energy from raw total energies = -0.758 eV/atom
1.0
-2.863 -6.451 2.559
2.634 -6.550 -2.554
1.981 -2.199 7.685
Cl Nd N
6 2 2
Cartesian
-1.483 -6.851 6.010
1.271 -6.901 3.450
3.590 -6.938 5.953
2.275 -3.668 7.229
0.846 -6.889 8.506
-0.049 -3.621 4.728
1.071 -5.811 5.975
3.789 -8.028 3.427
-0.313 -10.124 4.572
0.329 -7.971 -0.297

---

[3]
Nd3NCl3 | the Alexandria database | PBE-GGA | relaxed; mass density = 5.4 g cm⁻³; formation energy from raw total energies = -1.767 eV/atom
1.0
3.773 0.000 0.000
0.000 8.144 -0.413
0.000 -0.001 11.074
Cl Nd N
6 6 2
Cartesian
0.943 3.065 3.916
2.830 5.079 6.745
2.830 1.045 1.301
0.943 3.162 9.553
0.943 7.099 9.360
2.830 4.982 1.108
2.830 1.079 9.280
2.830 5.492 3.873
2.830 0.715 4.303
0.943 7.428 6.358
0.943 2.651 6.788
0.943 7.065 1.381
2.830 0.998 6.802
0.943 7.145 3.859

---

[4]
NdN2Cl4 | the Alexandria database | PBE-GGA | relaxed; mass density = 2.6 g cm⁻³; formation energy from raw total energies = 0.349 eV/atom
1.0
4.785 0.000 0.868
2.314 4.188 0.868
0.609 0.360 10.266
Nd N Cl
1 2 4
Cartesian
0.000 0.000 0.000
1.750 1.032 3.979
5.959 3.516 8.023
1.110 0.655 7.505
2.246 1.325 1.244
5.463 3.223 10.758
6.598 3.893 4.496

---

[5]
Nd4N2Cl5 | the Alexandria database | PBE-GGA | relaxed; mass density = 5.3 g cm⁻³; formation energy from raw total energies = -1.722 eV/atom
1.0
3.667 0.000 0.000
0.000 7.938 -0.734
-1.833 -3.188 8.794
Nd Cl N
4 5 2
Cartesian
1.833 4.248 2.639
0.000 2.328 -0.215
1.833 2.422 8.275
0.000 0.502 5.421
1.833 0.000 0.000
0.000 6.496 2.227
0.000 1.961 2.647
1.833 -1.746 5.833
1.833 2.789 5.413
1.833 4.034 0.331
0.000 0.716 7.729

---

[6]
Nd2N2Cl | the Alexandria database | PBE-GGA | relaxed; mass density = 5.7 g cm⁻³; formation energy from raw total energies = -1.397 eV/atom
1.0
-0.561 -3.907 0.766
3.727 1.460 -0.378
0.187 1.376 7.158
Nd N Cl
2 2 1
Cartesian
0.999 -1.161 5.366
2.355 0.089 2.180
0.938 -1.610 3.031
2.416 0.538 4.515
0.000 0.000 0.000

---

[7]
Nd4NCl5 | the Alexandria database | PBE-GGA | relaxed; mass density = 4.9 g cm⁻³; formation energy from raw total energies = -1.877 eV/atom
1.0
-1.616 -0.931 -3.319
-4.737 -5.273 3.785
-3.739 7.950 1.774
Cl Nd N
5 4 1
Cartesian
-5.518 -1.835 3.201
-3.138 0.600 1.359
-6.954 1.146 0.881
-3.176 -3.102 0.233
-4.574 3.581 -0.960
-2.518 1.260 -1.311
-7.574 0.486 3.551
-3.756 -4.135 2.988
-6.335 5.880 -0.748
-0.808 -0.465 -1.659

---

[8]
Nd3N2Cl | the Alexandria database | PBE-GGA | relaxed; mass density = 7.0 g cm⁻³; formation energy from raw total energies = -1.493 eV/atom
1.0
-0.171 1.169 -3.505
-3.074 -1.112 1.730
-3.167 18.691 6.390
Nd N Cl
6 4 2
Cartesian
-3.254 6.422 2.301
0.000 0.000 0.000
-2.542 2.220 0.864
-1.584 9.345 3.195
-3.158 12.326 2.315
-3.870 16.528 3.751
-1.389 1.890 -1.253
-5.022 16.857 5.869
-3.941 10.475 3.687
-2.471 8.273 0.929
-0.792 4.673 1.598
-2.375 14.018 4.793

---

[9]
Nd4N2Cl | the Alexandria database | PBE-GGA | relaxed; mass density = 6.8 g cm⁻³; formation energy from raw total energies = -1.248 eV/atom
1.0
-1.410 -1.584 -3.004
-3.244 -1.723 0.180
-7.821 10.375 -4.051
N Nd Cl
2 4 1
Cartesian
-7.741 6.286 -4.183
-4.735 0.782 -2.692
-9.892 6.281 -5.422
-5.529 6.179 -2.914
-2.583 0.787 -1.453
-6.946 0.889 -3.961
0.000 0.000 0.000

---

[10]
Nd6N3Cl2 | the Alexandria database | PBE-GGA | relaxed; mass density = 6.7 g cm⁻³; formation energy from raw total energies = -1.355 eV/atom
1.0
6.174 0.000 1.839
3.087 5.579 0.919
0.134 0.000 7.069
N Cl Nd
3 2 6
Cartesian
0.000 0.000 0.000
3.087 1.877 0.919
6.174 3.702 1.839
3.154 3.717 4.454
6.241 1.863 5.373
1.710 0.000 1.916
4.649 3.753 7.023
4.598 0.000 6.992
1.563 1.826 6.104
7.833 3.753 3.724
4.746 1.826 2.804

---

[11]
Nd7NCl12 | the Alexandria database | PBE-GGA | relaxed; mass density = 4.2 g cm⁻³; formation energy from raw total energies = -1.997 eV/atom
1.0
-0.565 3.317 -8.188
1.042 -8.760 -0.739
-7.767 1.432 3.998
Cl Nd N
12 7 1
Cartesian
-6.528 -4.440 0.543
-3.086 0.751 -2.425
-0.762 0.430 -5.472
-1.066 -5.432 -0.253
-1.915 -5.050 -5.784
-5.375 1.040 0.855
-6.224 1.422 -4.675
-0.930 -2.619 -2.871
-4.205 -4.761 -2.503
-3.336 -2.176 0.326
-6.360 -1.391 -2.058
-3.955 -1.834 -5.255
-0.526 -2.470 -0.047
-4.846 -4.548 -5.271
-6.993 -4.145 -2.424
-3.645 -2.005 -2.464
-0.298 0.135 -2.505
-2.444 0.538 0.343
-6.764 -1.540 -4.881
0.000 0.000 0.000

---

[12]
Nd2NClO | the Alexandria database | PBE-GGA | relaxed; mass density = 5.8 g cm⁻³; formation energy from raw total energies = -2.382 eV/atom
1.0
-3.049 2.224 -1.380
1.832 -2.626 -2.428
-4.652 -5.119 2.027
Nd Cl O N
2 1 1 1
Cartesian
-4.657 -2.952 -0.320
-1.232 -2.590 -1.453
-0.061 -0.067 0.026
-3.080 -1.217 -1.007
-2.709 -4.216 -0.809

---

- Look up the mass density of the ninth one.
  6.8 g cm⁻³